DFT (PBE) results for a relaxed K2TlZn crystal.

Unit cell a=7.624 b=7.624 c=7.624 alpha=100.56 beta=100.56 gamma=129.31
Sites, in units of the cell vectors:
1 K 0.092 0.125 0.467
2 K 0.375 0.908 0.033
3 K 0.658 0.625 0.533
4 K 0.875 0.342 0.967
5 Tl 0.250 0.750 0.500
6 Tl 0.500 0.500 0.000
7 Zn 0.000 0.000 0.000
8 Zn 0.750 0.250 0.500

Summary:
N(E_F) = 7.5 states/eV per cell
SG = No. 122
Energy relative to the lowest polymorph listed for this composition = 17.0 kJ per mole of atoms
Energy relative to the elements = 0.178 eV/atom